No. 1
HfCdRh4 | PBE-GGA | relaxed

Calculated values
Total energy: -7.0858 eV per atom
Density of states at the Fermi level: 0.82 states/eV/atom
Crystal system: cubic
Space group: No. 216

```
data_HfCdRh4
_symmetry_space_group_name_H-M 'P 1'
_symmetry_Int_Tables_number 1
_symmetry_space_group_name_Hall 'P 1'
_cell_length_a 5.1877
_cell_length_b 5.1877
_cell_length_c 5.1877
_cell_angle_alpha 60.00
_cell_angle_beta 60.00
_cell_angle_gamma 60.00
loop_
_atom_site_label
_atom_site_fract_x
_atom_site_fract_y
_atom_site_fract_z
Hf1 0.2500 0.2500 0.2500
Rh1 0.6254 0.6254 0.6254
Rh2 0.1239 0.6254 0.6254
Rh3 0.6254 0.1239 0.6254
Rh4 0.6254 0.6254 0.1239
Cd1 0.0000 0.0000 0.0000
```

No. 2
HfCdRuRh | PBE-GGA | relaxed

Calculated values
Total energy: -7.2909 eV per atom
Density of states at the Fermi level: 0.79 states/eV/atom
Crystal system: cubic
Space group: No. 216

```
data_HfCdRuRh
_symmetry_space_group_name_H-M 'P 1'
_symmetry_Int_Tables_number 1
_symmetry_space_group_name_Hall 'P 1'
_cell_length_a 4.5660
_cell_length_b 4.5660
_cell_length_c 4.5660
_cell_angle_alpha 60.00
_cell_angle_beta 60.00
_cell_angle_gamma 60.00
loop_
_atom_site_label
_atom_site_fract_x
_atom_site_fract_y
_atom_site_fract_z
Cd1 0.7500 0.7500 0.7500
Hf1 0.2500 0.2500 0.2500
Rh1 0.0000 0.0000 0.0000
Ru1 0.5000 0.5000 0.5000
```

No. 3
HfCdSnRh2 | PBE-GGA | relaxed

Calculated values
Total energy: -5.2617 eV per atom
Density of states at the Fermi level: 0.80 states/eV/atom
Crystal system: tetragonal
Space group: No. 123

```
data_HfCdSnRh2
_symmetry_space_group_name_H-M 'P 1'
_symmetry_Int_Tables_number 1
_symmetry_space_group_name_Hall 'P 1'
_cell_length_a 4.7944
_cell_length_b 5.5006
_cell_length_c 4.7944
_cell_angle_alpha 90.00
_cell_angle_beta 90.00
_cell_angle_gamma 90.00
loop_
_atom_site_label
_atom_site_fract_x
_atom_site_fract_y
_atom_site_fract_z
Cd1 0.5000 0.5000 0.5000
Rh1 0.0000 0.0000 0.5000
Rh2 0.5000 0.0000 0.0000
Hf1 0.0000 0.0000 0.0000
Sn1 0.0000 0.5000 0.0000
```